Here is an optimized crystal structure of ScCd2F from the Alexandria database. Energies are from GGA-PBE.

Computed properties:
Space group: Fm-3m, No. 225
Raw formation energy: -1.612 eV/f.u.
Distance to the lowest polymorph of the same formula: 188 kJ/mol of formula units

Cell lengths 4.8914, 4.8914, 4.8914 Å; angles 60.00, 60.00, 60.00 degrees
Atoms (fractional coordinates):
Sc1 0.5000 0.5000 0.5000
F1 0.0000 0.0000 0.0000
Cd1 0.2500 0.2500 0.2500
Cd2 0.7500 0.7500 0.7500



Here is an optimized crystal structure of ScCdF2 from the Alexandria database. Energies are from GGA-PBE.

Computed properties:
Space group: R-3m, No. 166
Raw formation energy: -9.144 eV/f.u.
Distance to the lowest polymorph of the same formula: 0 kJ/mol of formula units

Cell lengths 9.4650, 9.4650, 9.4650 Å; angles 18.77, 18.77, 18.77 degrees
Atoms (fractional coordinates):
Sc1 0.5000 0.5000 0.5000
F1 0.8780 0.8780 0.8780
F2 0.1220 0.1220 0.1220
Cd1 0.0000 0.0000 0.0000



Here is an optimized crystal structure of Sc3CdF from the Alexandria database. Energies are from GGA-PBE.

Computed properties:
Space group: Pm-3m, No. 221
Raw formation energy: -4.823 eV/f.u.
Distance to the lowest polymorph of the same formula: 0 kJ/mol of formula units

Cell lengths 4.5418, 4.5418, 4.5418 Å; angles 90.00, 90.00, 90.00 degrees
Atoms (fractional coordinates):
Sc1 0.0000 0.5000 0.0000
Sc2 0.0000 0.0000 0.5000
Sc3 0.5000 0.0000 0.0000
F1 0.0000 0.0000 0.0000
Cd1 0.5000 0.5000 0.5000



Here is an optimized crystal structure of Sc3CdF from the Alexandria database. Energies are from GGA-PBE.

Computed properties:
Space group: Pm-3m, No. 221
Raw formation energy: 1.340 eV/f.u.
Distance to the lowest polymorph of the same formula: 595 kJ/mol of formula units

Cell lengths 5.3495, 5.3495, 5.3495 Å; angles 90.00, 90.00, 90.00 degrees
Last column: magnetic moment on the atom in μB.
Atoms (fractional coordinates):
Sc1 0.0000 0.5000 0.0000  0.24
Sc2 0.0000 0.0000 0.5000  0.23
Sc3 0.5000 0.0000 0.0000  0.25
F1 0.5000 0.5000 0.5000  0.00
Cd1 0.0000 0.0000 0.0000  0.00



Here is an optimized crystal structure of Sc2Cd2F from the Alexandria database. Energies are from GGA-PBE.

Computed properties:
Space group: P4/mbm, No. 127
Raw formation energy: -5.159 eV/f.u.

Cell lengths 6.1977, 6.1977, 5.2547 Å; angles 90.00, 90.00, 90.00 degrees
Atoms (fractional coordinates):
Sc1 0.3314 0.8314 0.0000
Sc2 0.8314 0.6686 0.0000
Sc3 0.6686 0.1686 0.0000
Sc4 0.1686 0.3314 0.0000
F1 0.0000 0.0000 0.0000
F2 0.5000 0.5000 0.0000
Cd1 0.1579 0.6579 0.5000
Cd2 0.6579 0.8421 0.5000
Cd3 0.8421 0.3421 0.5000
Cd4 0.3421 0.1579 0.5000



Here is an optimized crystal structure of ScCdF2 from the Alexandria database. Energies are from GGA-PBE.

Computed properties:
Space group: I4_1/amd, No. 141
Raw formation energy: -8.899 eV/f.u.
Distance to the lowest polymorph of the same formula: 24 kJ/mol of formula units

Cell lengths 5.5311, 5.5311, 7.0299 Å; angles 66.83, 66.83, 90.00 degrees
Atoms (fractional coordinates):
Sc1 0.5000 0.5000 0.0000
Sc2 0.2500 0.7500 0.5000
F1 0.3759 0.1250 0.2500
F2 0.3741 0.6250 0.2500
F3 0.3750 0.6241 0.7500
F4 0.8750 0.6259 0.7500
Cd1 0.0000 0.0000 0.0000
Cd2 0.7500 0.2500 0.5000



Here is an optimized crystal structure of ScCdF3 from the Alexandria database. Energies are from GGA-PBE.

Computed properties:
Space group: Pm-3m, No. 221
Raw formation energy: -8.428 eV/f.u.
Distance to the lowest polymorph of the same formula: 518 kJ/mol of formula units

Cell lengths 4.4547, 4.4547, 4.4547 Å; angles 90.00, 90.00, 90.00 degrees
Last column: magnetic moment on the atom in μB.
Atoms (fractional coordinates):
Sc1 0.5000 0.5000 0.5000  -1.08
F1 0.0000 0.5000 0.0000  -0.02
F2 0.0000 0.0000 0.5000  -0.01
F3 0.5000 0.0000 0.0000  -0.02
Cd1 0.0000 0.0000 0.0000  0.00



Here is an optimized crystal structure of ScCdSeF2 from the Alexandria database. Energies are from GGA-PBE.

Computed properties:
Space group: P4/mmm, No. 123
Raw formation energy: -11.635 eV/f.u.

Cell lengths 4.1407, 4.1407, 5.5133 Å; angles 90.00, 90.00, 90.00 degrees
Atoms (fractional coordinates):
Sc1 0.0000 0.0000 0.0000
F1 0.0000 0.5000 0.0000
F2 0.5000 0.0000 0.0000
Se1 0.0000 0.0000 0.5000
Cd1 0.5000 0.5000 0.5000



Here is an optimized crystal structure of ScCdSn2F from the Alexandria database. Energies are from GGA-PBE.

Computed properties:
Space group: P4/mmm, No. 123
Raw formation energy: -4.157 eV/f.u.

Cell lengths 5.8514, 3.9294, 5.8514 Å; angles 90.00, 90.00, 90.00 degrees
Atoms (fractional coordinates):
Sc1 0.0000 0.0000 0.0000
F1 0.0000 0.5000 0.0000
Sn1 0.0000 0.0000 0.5000
Sn2 0.5000 0.0000 0.0000
Cd1 0.5000 0.5000 0.5000



Here is an optimized crystal structure of SrScCdF2 from the Alexandria database. Energies are from GGA-PBE.

Computed properties:
Space group: P4/mmm, No. 123
Raw formation energy: -2.693 eV/f.u.

Cell lengths 4.6492, 6.6824, 4.6492 Å; angles 90.00, 90.00, 90.00 degrees
Last column: magnetic moment on the atom in μB.
Atoms (fractional coordinates):
Sc1 0.5000 0.5000 0.5000  0.23
Sr1 0.0000 0.5000 0.0000  0.02
F1 0.0000 0.0000 0.5000  0.00
F2 0.5000 0.0000 0.0000  0.01
Cd1 0.0000 0.0000 0.0000  0.01



Here is an optimized crystal structure of ScCdTeF2 from the Alexandria database. Energies are from GGA-PBE.

Computed properties:
Space group: P4/mmm, No. 123
Raw formation energy: -11.038 eV/f.u.

Cell lengths 4.2080, 4.2080, 5.9845 Å; angles 90.00, 90.00, 90.00 degrees
Last column: magnetic moment on the atom in μB.
Atoms (fractional coordinates):
Sc1 0.0000 0.0000 0.0000  0.20
F1 0.0000 0.5000 0.0000  0.00
F2 0.5000 0.0000 0.0000  0.00
Te1 0.0000 0.0000 0.5000  0.00
Cd1 0.5000 0.5000 0.5000  0.01



Here is an optimized crystal structure of ScCd2TeF from the Alexandria database. Energies are from GGA-PBE.

Computed properties:
Space group: P4/mmm, No. 123
Raw formation energy: -0.112 eV/f.u.

Cell lengths 5.7542, 4.2664, 5.7542 Å; angles 90.00, 90.00, 90.00 degrees
Atoms (fractional coordinates):
Sc1 0.5000 0.5000 0.5000
F1 0.0000 0.5000 0.0000
Te1 0.0000 0.0000 0.0000
Cd1 0.0000 0.0000 0.5000
Cd2 0.5000 0.0000 0.0000



Here is an optimized crystal structure of ScTlCdF6 from the Alexandria database. Energies are from GGA-PBE.

Computed properties:
Space group: Imma, No. 74
Raw formation energy: -26.002 eV/f.u.

Cell lengths 7.7579, 7.9545, 7.9029 Å; angles 120.22, 119.39, 90.00 degrees
Atoms (fractional coordinates):
Sc1 0.5000 0.5000 0.0000
Sc2 0.5000 0.0000 0.0000
Tl1 0.9201 0.6701 0.8402
Tl2 0.0799 0.3299 0.1598
Cd1 0.5000 0.0000 0.5000
Cd2 0.0000 0.0000 0.5000
F1 0.4579 0.7079 0.9157
F2 0.8507 0.1007 0.7013
F3 0.8094 0.0825 0.2432
F4 0.4337 0.6607 0.2432
F5 0.4337 0.0825 0.2432
F6 0.8094 0.6607 0.2432
F7 0.5421 0.2921 0.0843
F8 0.1493 0.8993 0.2987
F9 0.1906 0.9175 0.7568
F10 0.5663 0.3393 0.7568
F11 0.5663 0.9175 0.7568
F12 0.1906 0.3393 0.7568